[1]
The following is a PBE calculation of a relaxed La4RhCl3 crystal, from Alexandria.

abc: 4.092 7.416 7.416
angles: 109.21 90.00 90.00
Fractional coordinates of all 8 atoms:
Cl 0.000 0.000 0.500
La 0.000 0.228 0.228
La 0.000 0.772 0.772
La 0.500 0.753 0.247
La 0.500 0.247 0.753
Rh 0.500 0.000 0.000
Cl 0.500 0.500 0.500
Cl 0.000 0.500 0.000

Calculated values
**Space group**: Cmmm
**Raw formation energy**: -1.39 eV/atom

---

[2]
The following is a PBE calculation of a relaxed LaRhCl2 crystal, from Alexandria.

abc: 7.266 7.266 7.266
angles: 150.80 145.90 45.50
Fractional coordinates of all 4 atoms:
Cl 0.767 0.267 0.500
La 0.423 0.423 0.000
Rh 0.288 0.788 0.500
Cl 0.023 0.023 0.000

Calculated values
**Energy above the most stable polymorph in this dataset**: 75.5 kJ/mol of formula units
**Space group**: Imm2
**Raw formation energy**: -1.17 eV/atom

---

[3]
The following is a PBE calculation of a relaxed La6Rh3Cl2 crystal, from Alexandria.

abc: 7.251 7.257 7.740
angles: 81.05 71.86 60.03
Fractional coordinates of all 11 atoms:
La 0.735 0.000 0.788
La 0.927 0.669 0.213
Cl 0.833 0.333 0.500
La 0.595 0.331 0.213
La 0.405 0.669 0.787
La 0.073 0.331 0.787
Rh 0.000 0.000 0.000
Rh 0.670 0.661 0.000
La 0.265 0.000 0.212
Cl 0.167 0.667 0.500
Rh 0.330 0.339 0.000

Calculated values
**Space group**: C2/m
**Raw formation energy**: -1.07 eV/atom

---

[4]
The following is a PBE calculation of a relaxed LaRh4Cl crystal, from Alexandria.

abc: 5.382 5.382 5.382
angles: 60.00 60.00 60.00
Each line ends with the local moment (μB).
Fractional coordinates of all 6 atoms:
Rh 0.375 0.375 0.876  0.46
Rh 0.876 0.375 0.375  0.46
La 0.000 0.000 0.000  -0.02
Cl 0.750 0.750 0.750  0.09
Rh 0.375 0.375 0.375  0.46
Rh 0.375 0.876 0.375  0.46

Calculated values
**Space group**: F-43m
**Raw formation energy**: -0.05 eV/atom